Record 1
The following is a DFT calculation (GGA-PBEsol) of an optimized crystal structure of BaTl3Rh.

Cell lengths 5.223, 5.223, 5.223 Å; angles 90.00, 90.00, 90.00 degrees
Fractional positions:
1 Ba 0.000 0.000 0.000
2 Tl 0.000 0.500 0.500
3 Tl 0.500 0.000 0.500
4 Tl 0.500 0.500 0.000
5 Rh 0.500 0.500 0.500

Properties
SG   Pm-3m (221)
Formation enthalpy at 0 K   -0.21 eV/atom
Crystal system   cubic
Uncorrected energy   -0.2824 Ry per atom

Record 2
The following is a DFT calculation (GGA-PBEsol) of an optimized crystal structure of BaTl2Rh2.

Cell lengths 6.450, 6.450, 6.450 Å; angles 137.63, 137.63, 61.47 degrees
Fractional positions:
1 Ba 0.000 0.000 0.000
2 Tl 0.366 0.366 0.000
3 Tl 0.634 0.634 0.000
4 Rh 0.250 0.750 0.500
5 Rh 0.750 0.250 0.500

Properties
SG   I4/mmm (139)
Formation enthalpy at 0 K   -0.11 eV/atom
Crystal system   tetragonal
Uncorrected energy   -0.3562 Ry per atom

Record 3
The following is a DFT calculation (GGA-PBEsol) of an optimized crystal structure of Ba2RhW.

Cell lengths 4.843, 4.843, 4.514 Å; angles 90.00, 90.00, 90.00 degrees
Fractional positions:
1 Ba 0.000 0.500 0.000
2 Ba 0.500 0.000 0.000
3 Rh 0.000 0.000 0.500
4 W 0.500 0.500 0.500

Properties
SG   P4/mmm (123)
Formation enthalpy at 0 K   1.27 eV/atom
Crystal system   tetragonal
Uncorrected energy   -0.3887 Ry per atom

Record 4
The following is a DFT calculation (GGA-PBEsol) of an optimized crystal structure of Ba2RhW.

Cell lengths 5.724, 5.724, 5.724 Å; angles 131.52, 131.52, 70.99 degrees
Fractional positions:
1 Ba 0.250 0.750 0.500
2 Ba 0.750 0.250 0.500
3 Rh 0.000 0.000 0.000
4 W 0.500 0.500 0.000

Properties
SG   I4/mmm (139)
Formation enthalpy at 0 K   1.27 eV/atom
Crystal system   tetragonal
Uncorrected energy   -0.3886 Ry per atom

Record 5
The following is a DFT calculation (GGA-PBEsol) of an optimized crystal structure of BaY2Rh.

Cell lengths 4.390, 4.774, 5.083 Å; angles 90.00, 90.00, 90.00 degrees
Fractional positions:
1 Ba 0.000 0.000 0.000
2 Y 0.000 0.500 0.500
3 Y 0.500 0.000 0.500
4 Rh 0.500 0.500 0.000

Properties
SG   Pmmm (47)
Formation enthalpy at 0 K   0.21 eV/atom
Crystal system   orthorhombic
Uncorrected energy   -0.4241 Ry per atom
Excess energy over the best structure of this formula in the dataset   1.57 eV/f.u.

Record 6
The following is a DFT calculation (GGA-PBEsol) of an optimized crystal structure of BaY2Rh.

Cell lengths 6.507, 6.507, 6.507 Å; angles 147.14, 125.13, 65.45 degrees
Fractional positions:
1 Ba 0.000 0.000 0.000
2 Y 0.318 0.818 0.500
3 Y 0.682 0.182 0.500
4 Rh 0.500 0.500 0.000

Properties
SG   Immm (71)
Formation enthalpy at 0 K   -0.18 eV/atom
Crystal system   orthorhombic
Uncorrected energy   -0.4530 Ry per atom
Excess energy over the best structure of this formula in the dataset   0.00 eV/f.u.

Record 7
The following is a DFT calculation (GGA-PBEsol) of an optimized crystal structure of BaY2Rh.

Cell lengths 5.971, 5.971, 3.445 Å; angles 101.72, 101.72, 114.36 degrees
Fractional positions:
1 Ba 0.000 0.000 0.000
2 Y 0.000 0.500 0.500
3 Y 0.500 0.000 0.500
4 Rh 0.500 0.500 0.000

Properties
SG   C2/m (12)
Formation enthalpy at 0 K   0.30 eV/atom
Crystal system   monoclinic
Uncorrected energy   -0.4177 Ry per atom
Excess energy over the best structure of this formula in the dataset   1.92 eV/f.u.

Record 8
The following is a DFT calculation (GGA-PBEsol) of an optimized crystal structure of BaZnRh.

Cell lengths 4.745, 4.745, 4.745 Å; angles 60.00, 60.00, 60.00 degrees
Fractional positions:
1 Ba 0.000 0.000 0.000
2 Zn 0.250 0.250 0.250
3 Rh 0.500 0.500 0.500

Properties
SG   F-43m (216)
Formation enthalpy at 0 K   0.34 eV/atom
Crystal system   cubic
Uncorrected energy   -0.2662 Ry per atom

Record 9
The following is a DFT calculation (GGA-PBEsol) of an optimized crystal structure of Ba2ZnRh.

Cell lengths 4.435, 6.374, 6.374 Å; angles 42.28, 90.00, 90.00 degrees
Fractional positions:
1 Ba 0.000 0.000 0.000
2 Ba 0.500 0.280 0.280
3 Zn 0.500 0.586 0.586
4 Rh 0.000 0.688 0.688

Properties
SG   Amm2 (38)
Formation enthalpy at 0 K   -0.18 eV/atom
Crystal system   orthorhombic
Uncorrected energy   -0.2709 Ry per atom

Record 10
The following is a DFT calculation (GGA-PBEsol) of an optimized crystal structure of BaZnRh.

Cell lengths 4.296, 4.296, 4.602 Å; angles 90.00, 90.00, 120.00 degrees
Fractional positions:
1 Ba 0.000 0.000 0.000
2 Zn 0.667 0.333 0.500
3 Rh 0.333 0.667 0.500

Properties
SG   P-6m2 (187)
Formation enthalpy at 0 K   -0.19 eV/atom
Crystal system   hexagonal
Uncorrected energy   -0.3051 Ry per atom

Record 11
The following is a DFT calculation (GGA-PBEsol) of an optimized crystal structure of Ba2ZnRh.

Cell lengths 5.203, 5.203, 5.203 Å; angles 60.00, 60.00, 60.00 degrees
Fractional positions:
1 Ba 0.000 0.000 0.000
2 Ba 0.250 0.250 0.250
3 Zn 0.750 0.750 0.750
4 Rh 0.500 0.500 0.500

Properties
SG   F-43m (216)
Formation enthalpy at 0 K   0.13 eV/atom
Crystal system   cubic
Uncorrected energy   -0.2479 Ry per atom

Record 12
The following is a DFT calculation (GGA-PBEsol) of an optimized crystal structure of Ba2ZnRh.

Cell lengths 4.411, 4.411, 8.646 Å; angles 104.83, 104.83, 60.01 degrees
Fractional positions:
1 Ba 0.000 0.000 0.000
2 Ba 0.168 0.168 0.502
3 Zn 0.417 0.417 0.251
4 Rh 0.751 0.751 0.252

Properties
SG   Cm (8)
Formation enthalpy at 0 K   -0.26 eV/atom
Crystal system   monoclinic
Uncorrected energy   -0.2766 Ry per atom

Question: Which formula does entry 7 have?
Answer: BaY2Rh

Copy entry 4 word for word.
The following is a DFT calculation (GGA-PBEsol) of an optimized crystal structure of Ba2RhW.

Cell lengths 5.724, 5.724, 5.724 Å; angles 131.52, 131.52, 70.99 degrees
Fractional positions:
1 Ba 0.250 0.750 0.500
2 Ba 0.750 0.250 0.500
3 Rh 0.000 0.000 0.000
4 W 0.500 0.500 0.000

Properties
SG   I4/mmm (139)
Formation enthalpy at 0 K   1.27 eV/atom
Crystal system   tetragonal
Uncorrected energy   -0.3886 Ry per atom

Question: Among the records above, which one has the lowest formation enthalpy at 0 K?
Answer: number 12